No. 1
Ca2CdBi3: optimized geometry, GGA-PBE.

The calculated density comes out at 7.23 g/cm³. The calculation puts the total energy at -3.24 eV per atom. The value obtained for the total magnetization is 0.00 μB/f.u. The energy relative to the elements comes out at -2.9 eV per formula unit.

The space group is Pnma (No. 62) and the conventional cell measures 7.756, 4.622 and 20.989 Å, with angles of 90.00, 90.00 and 90.00 degrees. The inequivalent atoms are Ca at (0.166, 0.250, 0.204), Ca at (0.203, 0.250, 0.419), Cd at (0.027, 0.750, 0.068), Bi at (0.049, 0.250, 0.646), Bi at (0.155, 0.250, 0.804) and Bi at (0.239, 0.750, 0.539).

No. 2
ZnSiMo2: optimized geometry, GGA-PBE.

The calculated density comes out at 8.18 g/cm³. The calculation puts the total energy at -7.01 eV per atom. As for the uncorrected formation energy: 79 meV/atom. For the relative energy among the computed polymorphs, the calculation gives 113 meV/atom. The value obtained for the total magnetization is 0.00 μB/f.u.

The space group is P4/mmm (No. 123) and the conventional cell measures 4.622, 4.622 and 2.710 Å, with angles of 90.00, 90.00 and 90.00 degrees. The inequivalent atoms are Zn at (0.000, 0.000, 0.000), Si at (0.500, 0.500, 0.000) and Mo at (0.000, 0.500, 0.500).

No. 3
CaLaTlCl6: optimized geometry, GGA-PBE.

The calculated density comes out at 3.12 g/cm³. The calculation puts the total energy at -4.36 eV per atom. As for the uncorrected formation energy: -2098 meV/atom. The value obtained for the total magnetization is 0.00 μB/f.u.

The space group is P-31c (No. 163) and the conventional cell measures 7.3316, 7.3316 and 13.6325 Å, with angles of 90.00, 90.00 and 120.00 degrees. The inequivalent atoms are Ca at (0.3333, 0.6667, 0.2500), La at (0.3333, 0.6667, 0.7500), Tl at (0.0000, 0.0000, 0.0000) and Cl at (0.0043, 0.3714, 0.1377).

No. 4
MnOs2Au: optimized geometry, GGA-PBE.

The calculated density comes out at 17.93 g/cm³. The calculation puts the total energy at -8.37 eV per atom. For the relative energy among the computed polymorphs, the calculation gives 134 meV/atom. The value obtained for the total magnetization is 2.79 μB/f.u. The energy relative to the elements comes out at 1.4 eV per formula unit.

The space group is I-4m2 (No. 119) and the conventional cell measures 3.878, 3.878 and 7.792 Å, with angles of 90.00, 90.00 and 90.00 degrees. The inequivalent atoms are Mn at (0.000, 0.000, 0.000), Os at (0.000, 0.000, 0.500), Os at (0.000, 0.500, 0.750) and Au at (0.000, 0.500, 0.250).